Entry 1:
VASP calculation (PBE) on a relaxed structure of Sc3CoRe.

Cell lengths 4.651, 4.651, 4.651 Å; angles 90.00, 90.00, 90.00 degrees
Element x y z (fractional)
Sc (0.000, 0.000, 0.500)
Sc (0.000, 0.500, 0.000)
Sc (0.500, 0.000, 0.000)
Co (0.000, 0.000, 0.000)
Re (0.500, 0.500, 0.500)

## Properties
Total magnetization ... 1.02 Bohr magnetons per cell
Energy ... -36.188 eV for the cell shown
DOS(E_F) ... 4.81 states/eV/cell
E_form ... 472 meV/atom


Entry 2:
VASP calculation (PBE) on a relaxed structure of Sc6Co2Re.

Cell lengths 7.618, 7.618, 7.618 Å; angles 111.29, 110.17, 106.98 degrees
Element x y z (fractional)
Sc (0.054, 0.247, 0.807)
Sc (0.182, 0.271, 0.453)
Sc (0.182, 0.729, 0.912)
Sc (0.323, 0.028, 0.705)
Sc (0.323, 0.618, 0.295)
Sc (0.439, 0.247, 0.193)
Sc (0.561, 0.753, 0.807)
Sc (0.677, 0.382, 0.705)
Sc (0.677, 0.972, 0.295)
Sc (0.818, 0.271, 0.088)
Sc (0.818, 0.729, 0.547)
Sc (0.946, 0.753, 0.193)
Co (0.121, 0.621, 0.500)
Co (0.361, 0.000, 0.361)
Co (0.639, 0.000, 0.639)
Co (0.879, 0.379, 0.500)
Re (0.000, 0.000, 0.000)
Re (0.500, 0.500, 0.000)

## Properties
Total magnetization ... 0.00 Bohr magnetons per cell
Energy ... -132.603 eV for the cell shown
DOS(E_F) ... 21.52 states/eV/cell
E_form ... -184 meV/atom